# Cs3PdW | Alexandria via LeMat-Bulk | GGA-PBE | optimized geometry
# Formation energy from the elements ... 637.5 kJ/mol of formula units
# E_tot ... -2.820 eV per atom
data_Cs3PdW
_cell_length_a 6.626
_cell_length_b 6.626
_cell_length_c 6.626
_cell_angle_alpha 90.00
_cell_angle_beta 90.00
_cell_angle_gamma 90.00
_symmetry_space_group_name_H-M 'P m -3 m'
_symmetry_Int_Tables_number 221
_symmetry_space_group_name_Hall '-P 4 2 3'
loop_
_atom_site_label
_atom_site_fract_x
_atom_site_fract_y
_atom_site_fract_z
Cs1 0.000 0.000 0.500
Pd1 0.000 0.000 0.000
W1 0.500 0.500 0.500

# NaScSnPt | Alexandria via LeMat-Bulk | GGA-PBE | optimized geometry
# Formation energy from the elements ... -252.4 kJ/mol of formula units
# E_tot ... -5.078 eV per atom
data_NaScSnPt
_cell_length_a 6.700
_cell_length_b 6.700
_cell_length_c 6.700
_cell_angle_alpha 90.00
_cell_angle_beta 90.00
_cell_angle_gamma 90.00
_symmetry_space_group_name_H-M 'F -4 3 m'
_symmetry_Int_Tables_number 216
_symmetry_space_group_name_Hall 'F -4 2 3'
loop_
_atom_site_label
_atom_site_fract_x
_atom_site_fract_y
_atom_site_fract_z
Na1 0.000 0.000 0.000
Sc1 0.250 0.250 0.750
Sn1 0.250 0.250 0.250
Pt1 0.000 0.000 0.500

# ScSiTcAg2 | Alexandria via LeMat-Bulk | GGA-PBE | optimized geometry
# E_tot ... -5.200 eV per atom
# Raw formation energy ... 364 meV per atom
data_ScSiTcAg2
_cell_length_a 4.628
_cell_length_b 4.628
_cell_length_c 4.608
_cell_angle_alpha 90.00
_cell_angle_beta 90.00
_cell_angle_gamma 90.00
_symmetry_space_group_name_H-M 'P 4/m m m'
_symmetry_Int_Tables_number 123
_symmetry_space_group_name_Hall '-P 4 2'
loop_
_atom_site_label
_atom_site_fract_x
_atom_site_fract_y
_atom_site_fract_z
Sc1 0.000 0.000 0.000
Si1 0.500 0.500 0.500
Tc1 0.500 0.500 0.000
Ag1 0.000 0.500 0.500

# RbNbTe2 | Alexandria via LeMat-Bulk | GGA-PBE | optimized geometry
# E_tot ... -4.806 eV per atom
# Raw formation energy ... -476 meV per atom
data_RbNbTe2
_cell_length_a 3.542
_cell_length_b 3.542
_cell_length_c 8.743
_cell_angle_alpha 90.00
_cell_angle_beta 90.00
_cell_angle_gamma 90.00
_symmetry_space_group_name_H-M 'P 4/m m m'
_symmetry_Int_Tables_number 123
_symmetry_space_group_name_Hall '-P 4 2'
loop_
_atom_site_label
_atom_site_fract_x
_atom_site_fract_y
_atom_site_fract_z
Rb1 0.000 0.000 0.000
Nb1 0.000 0.000 0.500
Te1 0.500 0.500 0.312